# 1
This record from the Alexandria database describes Sr3LiIn2 after structural relaxation. The functional is PBE.

**Formation enthalpy at 0 K**: -0.3117 eV/atom
**Space group**: P-3m1, No. 164

Cell lengths 5.7930, 5.7930, 14.1726 Å; angles 90.00, 90.00, 120.00 degrees
Element x y z (fractional)
Sr 0.0000 0.0000 0.2472
Sr 0.0000 0.0000 0.7528
Sr 0.3333 0.6667 0.4182
Sr 0.3333 0.6667 0.9205
Sr 0.6667 0.3333 0.0795
Sr 0.6667 0.3333 0.5818
Li 0.3333 0.6667 0.6690
Li 0.6667 0.3333 0.3310
In 0.0000 0.0000 0.0000
In 0.0000 0.0000 0.5000
In 0.3333 0.6667 0.1714
In 0.6667 0.3333 0.8286


# 2
This record from the Alexandria database describes RbSnBi after structural relaxation. The functional is PBE.

**Formation enthalpy at 0 K**: -0.2140 eV/atom
**Space group**: P-1, No. 2

Cell lengths 4.5210, 6.4678, 8.9027 Å; angles 78.44, 89.97, 89.48 degrees
Element x y z (fractional)
Rb 0.2473 0.2792 0.3180
Rb 0.7527 0.7208 0.6820
Sn 0.2551 0.7633 0.0236
Sn 0.7449 0.2367 0.9764
Bi 0.2462 0.1753 0.7586
Bi 0.7538 0.8247 0.2414


# 3
This record from the Alexandria database describes MoIrCl3 after structural relaxation. The functional is PBE.

**Energy relative to the elements, uncorrected**: 4.709 eV/f.u.
**ΔE to the lowest computed polymorph**: 188 meV/atom
**Space group**: Pm-3m, No. 221

Cell lengths 4.9185, 4.9185, 4.9185 Å; angles 90.00, 90.00, 90.00 degrees
Element x y z (fractional)
Mo 0.0000 0.0000 0.0000
Ir 0.5000 0.5000 0.5000
Cl 0.0000 0.0000 0.5000
Cl 0.0000 0.5000 0.0000
Cl 0.5000 0.0000 0.0000


# 4
This record from the Alexandria database describes Pm2In3Pd4 after structural relaxation. The functional is PBE.

**ΔE to the lowest computed polymorph**: 8 meV/atom
**Formation enthalpy at 0 K**: -0.6834 eV/atom
**Space group**: P-1, No. 2

Cell lengths 4.6720, 5.1829, 9.5588 Å; angles 85.79, 75.90, 63.30 degrees
Element x y z (fractional)
Pm 0.1958 0.3966 0.2106
Pm 0.8042 0.6034 0.7894
In 0.0000 0.0000 0.0000
In 0.3985 0.7806 0.4213
In 0.6015 0.2194 0.5787
Pd 0.1620 0.9783 0.6990
Pd 0.4478 0.2237 0.8813
Pd 0.5522 0.7763 0.1187
Pd 0.8380 0.0217 0.3010


# 5
This record from the Alexandria database describes LiYHoPt after structural relaxation. The functional is PBE.

**Formation enthalpy at 0 K**: -0.6748 eV/atom
**Space group**: F-43m, No. 216

Cell lengths 7.0340, 7.0340, 7.0340 Å; angles 90.00, 90.00, 90.00 degrees
Element x y z (fractional)
Li 0.0000 0.0000 0.0000
Li 0.0000 0.5000 0.5000
Li 0.5000 0.0000 0.5000
Li 0.5000 0.5000 0.0000
Y 0.2500 0.2500 0.7500
Y 0.2500 0.7500 0.2500
Y 0.7500 0.2500 0.2500
Y 0.7500 0.7500 0.7500
Ho 0.2500 0.2500 0.2500
Ho 0.2500 0.7500 0.7500
Ho 0.7500 0.2500 0.7500
Ho 0.7500 0.7500 0.2500
Pt 0.0000 0.0000 0.5000
Pt 0.0000 0.5000 0.0000
Pt 0.5000 0.0000 0.0000
Pt 0.5000 0.5000 0.5000


# 6
This record from the Alexandria database describes Ba3TaBe after structural relaxation. The functional is PBE.

**ΔE to the lowest computed polymorph**: 0 meV/atom
**Formation enthalpy at 0 K**: 1.2992 eV/atom
**Space group**: Pm-3m, No. 221

Cell lengths 6.1088, 6.1088, 6.1088 Å; angles 90.00, 90.00, 90.00 degrees
Element x y z (fractional)
Ba 0.0000 0.0000 0.5000
Ba 0.0000 0.5000 0.0000
Ba 0.5000 0.0000 0.0000
Ta 0.0000 0.0000 0.0000
Be 0.5000 0.5000 0.5000


# 7
This record from the Alexandria database describes KRb2SeI after structural relaxation. The functional is PBE.

**Energy relative to the elements, uncorrected**: -2.241 eV/f.u.
**ΔE to the lowest computed polymorph**: 691 meV/atom
**Space group**: P4/mmm, No. 123

Cell lengths 6.7408, 6.7408, 6.3837 Å; angles 90.00, 90.00, 90.00 degrees
Element x y z (fractional)
K 0.0000 0.0000 0.0000
Rb 0.0000 0.5000 0.5000
Rb 0.5000 0.0000 0.5000
Se 0.5000 0.5000 0.0000
I 0.5000 0.5000 0.5000


# 8
This record from the Alexandria database describes Ca2CoRu after structural relaxation. The functional is PBE.

**Formation enthalpy at 0 K**: 0.5056 eV/atom
**Space group**: Pmmm, No. 47

Cell lengths 3.5452, 3.6136, 6.3097 Å; angles 90.00, 90.00, 90.00 degrees
Element x y z (fractional)
Ca 0.0000 0.0000 0.2481
Ca 0.0000 0.0000 0.7519
Co 0.5000 0.5000 0.5000
Ru 0.5000 0.5000 0.0000


# 9
This record from the Alexandria database describes UTlSeS after structural relaxation. The functional is PBE.

**Energy relative to the elements, uncorrected**: -3.739 eV/f.u.
**Space group**: R3m, No. 160

Cell lengths 4.0404, 4.0404, 23.9274 Å; angles 90.00, 90.00, 120.00 degrees
Element x y z (fractional)
U 0.0000 0.0000 0.0000
U 0.3333 0.6667 0.6667
U 0.6667 0.3333 0.3333
Tl 0.0000 0.0000 0.8352
Tl 0.3333 0.6667 0.5018
Tl 0.6667 0.3333 0.1685
Se 0.0000 0.0000 0.4053
Se 0.3333 0.6667 0.0719
Se 0.6667 0.3333 0.7386
S 0.0000 0.0000 0.6058
S 0.3333 0.6667 0.2725
S 0.6667 0.3333 0.9391


# 10
This record from the Alexandria database describes SmHoGa2 after structural relaxation. The functional is PBE.

**ΔE to the lowest computed polymorph**: 34 meV/atom
**Formation enthalpy at 0 K**: -0.5813 eV/atom
**Space group**: P4/mmm, No. 123

Cell lengths 3.6052, 3.6052, 7.1836 Å; angles 90.00, 90.00, 90.00 degrees
Element x y z (fractional)
Sm 0.0000 0.0000 0.0000
Ho 0.0000 0.0000 0.5000
Ga 0.5000 0.5000 0.2609
Ga 0.5000 0.5000 0.7391


# 11
This record from the Alexandria database describes AcSmLu2 after structural relaxation. The functional is PBE.

**ΔE to the lowest computed polymorph**: 0 meV/atom
**Formation enthalpy at 0 K**: 0.0644 eV/atom
**Space group**: P4/mmm, No. 123

Cell lengths 5.2469, 5.2469, 4.9195 Å; angles 90.00, 90.00, 90.00 degrees
Element x y z (fractional)
Ac 0.0000 0.0000 0.0000
Sm 0.5000 0.5000 0.0000
Lu 0.0000 0.5000 0.5000
Lu 0.5000 0.0000 0.5000


# 12
This record from the Alexandria database describes ZrGa2Rh2 after structural relaxation. The functional is PBE.

**Formation enthalpy at 0 K**: -0.6211 eV/atom
**Space group**: P4/mbm, No. 127

Cell lengths 7.3635, 7.3635, 2.9583 Å; angles 90.00, 90.00, 90.00 degrees
Element x y z (fractional)
Zr 0.0000 0.0000 0.0000
Zr 0.5000 0.5000 0.0000
Ga 0.1551 0.3449 0.5000
Ga 0.3449 0.8449 0.5000
Ga 0.6551 0.1551 0.5000
Ga 0.8449 0.6551 0.5000
Rh 0.1412 0.6412 0.0000
Rh 0.3588 0.1412 0.0000
Rh 0.6412 0.8588 0.0000
Rh 0.8588 0.3588 0.0000


# 13
This record from the Alexandria database describes Pr4BSeI2 after structural relaxation. The functional is PBE.

**Energy relative to the elements, uncorrected**: -8.362 eV/f.u.
**Space group**: P2/m, No. 10

Cell lengths 7.4206, 4.1784, 8.1299 Å; angles 90.00, 107.17, 90.00 degrees
Element x y z (fractional)
Pr 0.2026 0.0000 0.1847
Pr 0.2389 0.5000 0.8098
Pr 0.7611 0.5000 0.1902
Pr 0.7974 0.0000 0.8153
B 0.0000 0.5000 0.0000
Se 0.5000 0.0000 0.0000
I 0.0000 0.0000 0.5000
I 0.5000 0.5000 0.5000


# 14
This record from the Alexandria database describes K2Bi2RuO6 after structural relaxation. The functional is PBE.

**Energy relative to the elements, uncorrected**: -13.049 eV/f.u.
**Space group**: C2/m, No. 12

Cell lengths 5.9076, 5.9076, 6.6009 Å; angles 97.85, 97.85, 117.94 degrees
Element x y z (fractional)
K 0.1647 0.8353 0.0000
K 0.8353 0.1647 0.0000
Bi 0.3351 0.6649 0.5000
Bi 0.6649 0.3351 0.5000
Ru 0.0000 0.0000 0.5000
O 0.0378 0.3521 0.6719
O 0.2073 0.2073 0.3124
O 0.3521 0.0378 0.6719
O 0.6479 0.9622 0.3281
O 0.7927 0.7927 0.6876
O 0.9622 0.6479 0.3281


# 15
This record from the Alexandria database describes Sm2Dy4Sn3O2 after structural relaxation. The functional is PBE.

**Energy relative to the elements, uncorrected**: -16.851 eV/f.u.
**Space group**: I4/mmm, No. 139

Cell lengths 13.0837, 13.0837, 13.0837 Å; angles 159.50, 159.50, 29.15 degrees
Element x y z (fractional)
Sm 0.1946 0.1946 0.0000
Sm 0.8054 0.8054 0.0000
Dy 0.0825 0.5825 0.5000
Dy 0.4175 0.9175 0.5000
Dy 0.5825 0.0825 0.5000
Dy 0.9175 0.4175 0.5000
Sn 0.3239 0.3239 0.0000
Sn 0.5000 0.5000 0.0000
Sn 0.6761 0.6761 0.0000
O 0.0950 0.0950 0.0000
O 0.9050 0.9050 0.0000


# 16
This record from the Alexandria database describes Na3Hf2O3F4 after structural relaxation. The functional is PBE.

**Energy relative to the elements, uncorrected**: -35.128 eV/f.u.
**Space group**: Imm2, No. 44

Cell lengths 10.2696, 10.2696, 10.2696 Å; angles 157.75, 33.42, 155.39 degrees
Element x y z (fractional)
Na 0.0000 0.0000 0.0000
Na 0.0986 0.9058 0.1928
Na 0.7131 0.9058 0.8072
Hf 0.4271 0.0167 0.4105
Hf 0.6062 0.0167 0.5895
O 0.3004 0.8004 0.5000
O 0.5096 0.6033 0.9063
O 0.6970 0.6033 0.0937
F 0.1694 0.5492 0.6203
F 0.3658 0.0659 0.2998
F 0.7661 0.0659 0.7002
F 0.9289 0.5492 0.3797


# 17
This record from the Alexandria database describes Zr2MoRh after structural relaxation. The functional is PBE.

**Formation enthalpy at 0 K**: -0.1154 eV/atom
**Space group**: F-43m, No. 216

Cell lengths 6.5863, 6.5863, 6.5863 Å; angles 90.00, 90.00, 90.00 degrees
Element x y z (fractional)
Zr 0.0000 0.0000 0.0000
Zr 0.0000 0.5000 0.5000
Zr 0.2500 0.2500 0.2500
Zr 0.2500 0.7500 0.7500
Zr 0.5000 0.0000 0.5000
Zr 0.5000 0.5000 0.0000
Zr 0.7500 0.2500 0.7500
Zr 0.7500 0.7500 0.2500
Mo 0.0000 0.0000 0.5000
Mo 0.0000 0.5000 0.0000
Mo 0.5000 0.0000 0.0000
Mo 0.5000 0.5000 0.5000
Rh 0.2500 0.2500 0.7500
Rh 0.2500 0.7500 0.2500
Rh 0.7500 0.2500 0.2500
Rh 0.7500 0.7500 0.7500


# 18
This record from the Alexandria database describes BeBr3N after structural relaxation. The functional is PBE.

**Energy relative to the elements, uncorrected**: 4.314 eV/f.u.
**Space group**: Pm-3m, No. 221

Cell lengths 4.8606, 4.8606, 4.8606 Å; angles 90.00, 90.00, 90.00 degrees
Element x y z (fractional)
Be 0.0000 0.0000 0.0000
Br 0.0000 0.0000 0.5000
Br 0.0000 0.5000 0.0000
Br 0.5000 0.0000 0.0000
N 0.5000 0.5000 0.5000


# 19
This record from the Alexandria database describes AlIn2O4 after structural relaxation. The functional is PBE.

**Energy relative to the elements, uncorrected**: -11.862 eV/f.u.
**ΔE to the lowest computed polymorph**: 0 meV/atom
**Space group**: C2/m, No. 12

Cell lengths 10.7426, 3.1592, 5.7193 Å; angles 90.00, 119.07, 90.00 degrees
Element x y z (fractional)
Al 0.0000 0.0000 0.0000
Al 0.5000 0.5000 0.0000
In 0.1768 0.5000 0.6694
In 0.3232 0.0000 0.3306
In 0.6768 0.0000 0.6694
In 0.8232 0.5000 0.3306
O 0.1214 0.5000 0.9897
O 0.1219 0.0000 0.3710
O 0.3781 0.5000 0.6290
O 0.3786 0.0000 0.0103
O 0.6214 0.0000 0.9897
O 0.6219 0.5000 0.3710
O 0.8781 0.0000 0.6290
O 0.8786 0.5000 0.0103


# 20
This record from the Alexandria database describes ErCuCl4 after structural relaxation. The functional is PBE.

**Energy relative to the elements, uncorrected**: -9.528 eV/f.u.
**Space group**: P2_1/c, No. 14

Cell lengths 6.9359, 3.8536, 14.4542 Å; angles 90.00, 117.45, 90.00 degrees
Element x y z (fractional)
Er 0.0000 0.0000 0.0000
Er 0.0000 0.5000 0.5000
Cu 0.5000 0.0000 0.5000
Cu 0.5000 0.5000 0.0000
Cl 0.0100 0.9998 0.6272
Cl 0.0100 0.5002 0.1272
Cl 0.4253 0.1017 0.0918
Cl 0.4253 0.3983 0.5918
Cl 0.5747 0.6017 0.4082
Cl 0.5747 0.8983 0.9082
Cl 0.9900 0.0002 0.3728
Cl 0.9900 0.4998 0.8728


# 21
This record from the Alexandria database describes NaSr2PdF after structural relaxation. The functional is PBE.

**Energy relative to the elements, uncorrected**: -4.573 eV/f.u.
**Space group**: P4/mmm, No. 123

Cell lengths 5.0257, 5.0257, 5.6267 Å; angles 90.00, 90.00, 90.00 degrees
Element x y z (fractional)
Na 0.0000 0.0000 0.0000
Sr 0.0000 0.5000 0.5000
Sr 0.5000 0.0000 0.5000
Pd 0.5000 0.5000 0.0000
F 0.5000 0.5000 0.5000


# 22
This record from the Alexandria database describes Li3AlGa8 after structural relaxation. The functional is PBE.

**Formation enthalpy at 0 K**: 0.0564 eV/atom
**Space group**: I-42m, No. 121

Cell lengths 6.9050, 6.9050, 6.9050 Å; angles 116.73, 116.73, 95.77 degrees
Element x y z (fractional)
Li 0.0000 0.0000 0.0000
Li 0.2500 0.7500 0.5000
Li 0.7500 0.2500 0.5000
Al 0.5000 0.5000 0.0000
Ga 0.0955 0.0955 0.7396
Ga 0.2094 0.2094 0.4876
Ga 0.2782 0.7906 0.0000
Ga 0.3559 0.3559 0.2604
Ga 0.6441 0.9045 0.0000
Ga 0.7218 0.7218 0.5124
Ga 0.7906 0.2782 0.0000
Ga 0.9045 0.6441 0.0000


# 23
This record from the Alexandria database describes NaSr2Ag2 after structural relaxation. The functional is PBE.

**ΔE to the lowest computed polymorph**: 212 meV/atom
**Formation enthalpy at 0 K**: -0.0269 eV/atom
**Space group**: I4/mmm, No. 139

Cell lengths 4.0144, 4.0144, 21.7511 Å; angles 90.00, 90.00, 90.00 degrees
Element x y z (fractional)
Na 0.0000 0.0000 0.0000
Na 0.5000 0.5000 0.5000
Sr 0.0000 0.0000 0.3713
Sr 0.0000 0.0000 0.6287
Sr 0.5000 0.5000 0.1287
Sr 0.5000 0.5000 0.8713
Ag 0.0000 0.5000 0.2500
Ag 0.0000 0.5000 0.7500
Ag 0.5000 0.0000 0.2500
Ag 0.5000 0.0000 0.7500


# 24
This record from the Alexandria database describes Er4TmTh3 after structural relaxation. The functional is PBE.

**ΔE to the lowest computed polymorph**: 0 meV/atom
**Formation enthalpy at 0 K**: 0.0290 eV/atom
**Space group**: Pmmn, No. 59

Cell lengths 4.9987, 10.0223, 10.0050 Å; angles 90.00, 90.00, 90.00 degrees
Element x y z (fractional)
Er 0.2500 0.9996 0.1258
Er 0.2500 0.2500 0.8721
Er 0.2500 0.5004 0.1258
Er 0.2500 0.7500 0.8748
Er 0.7500 0.0004 0.8742
Er 0.7500 0.2500 0.1252
Er 0.7500 0.4996 0.8742
Er 0.7500 0.7500 0.1279
Tm 0.2500 0.2500 0.3754
Tm 0.7500 0.7500 0.6246
Th 0.2500 0.0021 0.6240
Th 0.2500 0.4979 0.6240
Th 0.2500 0.7500 0.3749
Th 0.7500 0.2500 0.6251
Th 0.7500 0.5021 0.3760
Th 0.7500 0.9979 0.3760


# 25
This record from the Alexandria database describes NdSmSb2 after structural relaxation. The functional is PBE.

**Energy relative to the elements, uncorrected**: -4.734 eV/f.u.
**ΔE to the lowest computed polymorph**: 0 meV/atom
**Space group**: Pmmn, No. 59

Cell lengths 4.4994, 6.3582, 8.9959 Å; angles 90.00, 90.00, 90.00 degrees
Element x y z (fractional)
Nd 0.2500 0.2500 0.1254
Nd 0.7500 0.7500 0.8746
Sm 0.2500 0.2500 0.6246
Sm 0.7500 0.7500 0.3754
Sb 0.2500 0.7500 0.1275
Sb 0.2500 0.7500 0.6226
Sb 0.7500 0.2500 0.3774
Sb 0.7500 0.2500 0.8725